Record 1
VASP calculation (PBE) on a relaxed V3GaCo crystal.

Structure (extended XYZ):
```
5
Lattice="4.4480 0.0000 0.0000 0.0000 4.4480 0.0000 0.0000 0.0000 4.4480" Properties=species:S:1:pos:R:3 pbc="T T T"
V 0.0000 0.0000 2.2240
V 0.0000 2.2240 0.0000
V 2.2240 0.0000 0.0000
Ga 0.0000 0.0000 0.0000
Co 2.2240 2.2240 2.2240
```

Results
Crystal system: cubic
ΔE_f in eV per atom: 1.425
Relative energy among the computed polymorphs in meV/atom: 1292



Record 2
VASP calculation (PBE) on a relaxed V2GaCo6 crystal.

Structure (extended XYZ):
```
9
Lattice="-1.8568 2.7539 5.7853 1.8568 -2.7539 5.7853 1.8568 2.7539 -5.7853" Properties=species:S:1:pos:R:3 pbc="T T T"
V 0.0000 0.0000 1.9268
V 0.0000 0.0000 9.6437
Ga 0.0000 0.0000 5.7853
Co 1.8568 1.3917 -1.9421
Co 0.0000 1.2914 0.0000
Co 1.8568 1.3917 1.9421
Co 0.0000 1.3622 3.8432
Co 0.0000 4.2164 0.0000
Co 0.0000 1.3622 7.7273
```

Results
Crystal system: orthorhombic
ΔE_f in eV per atom: 0.337



Record 3
VASP calculation (PBE) on a relaxed VGa5Co6 crystal.

Structure (extended XYZ):
```
12
Lattice="2.0466 -6.1357 0.0000 2.0466 6.1357 0.0000 0.0000 0.0000 5.7197" Properties=species:S:1:pos:R:3 pbc="T T T"
V 0.0000 0.0000 0.0000
Ga 0.0000 0.0000 2.8599
Ga 2.0466 2.0447 2.8599
Ga 2.0466 2.0182 0.0000
Ga 2.0466 -2.0182 0.0000
Ga 2.0466 -2.0447 2.8599
Co 2.0466 4.1102 1.4195
Co 2.0466 4.1102 4.3002
Co 2.0466 0.0000 1.4142
Co 2.0466 0.0000 4.3056
Co 2.0466 -4.1102 1.4195
Co 2.0466 -4.1102 4.3002
```

Results
Crystal system: orthorhombic
ΔE_f in eV per atom: -0.287



Record 4
VASP calculation (PBE) on a relaxed VGa6Co crystal.

Structure (extended XYZ):
```
8
Lattice="4.1639 2.4040 2.2051 -4.1639 2.4040 2.2051 0.0000 -4.8081 2.2051" Properties=species:S:1:pos:R:3 pbc="T T T"
V 0.0000 0.0000 0.0000
Ga 0.0000 -2.1115 2.3676
Ga -1.8286 1.0558 2.3676
Ga -1.8286 -1.0558 4.2477
Ga 1.8286 1.0557 2.3676
Ga 1.8286 -1.0557 4.2478
Ga 0.0000 2.1115 4.2478
Co 0.0000 0.0000 3.3077
```

Results
Crystal system: trigonal
ΔE_f in eV per atom: -0.093



Record 5
VASP calculation (PBE) on a relaxed V5Ga4Co crystal.

Structure (extended XYZ):
```
10
Lattice="-4.2332 4.2332 2.1053 4.2332 -4.2332 2.1053 4.2332 4.2332 -2.1053" Properties=species:S:1:pos:R:3 pbc="T T T"
V 0.0000 0.0000 0.0000
V 2.6357 2.6357 -0.7520
V 1.5976 -1.5976 1.3533
V -1.5976 1.5976 1.3533
V 1.5976 1.5976 1.3533
Ga 4.2332 -1.6900 1.3349
Ga 4.2332 1.6900 1.3349
Ga -1.6900 4.2332 1.3349
Ga 1.6900 4.2332 1.3349
Co 0.0000 0.0000 2.1894
```

Results
Crystal system: tetragonal
ΔE_f in eV per atom: 0.071



Record 6
VASP calculation (PBE) on a relaxed V3GaCo4 crystal.

Structure (extended XYZ):
```
8
Lattice="4.0781 0.0000 0.0000 0.0000 4.0781 0.0000 0.0000 0.0000 5.8011" Properties=species:S:1:pos:R:3 pbc="T T T"
V 0.0000 0.0000 0.0000
V 0.0000 0.0000 2.9005
V 2.0390 2.0390 0.0000
Ga 2.0390 2.0390 2.9005
Co 0.0000 2.0390 1.4421
Co 0.0000 2.0390 4.3589
Co 2.0390 0.0000 1.4421
Co 2.0390 0.0000 4.3589
```

Results
Crystal system: tetragonal
ΔE_f in eV per atom: -0.170



Record 7
VASP calculation (PBE) on a relaxed V2GaCo crystal.

Structure (extended XYZ):
```
8
Lattice="-3.3717 3.3717 2.4468 3.3717 -3.3717 2.4468 3.3717 3.3717 -2.4468" Properties=species:S:1:pos:R:3 pbc="T T T"
V 1.6858 1.4084 -0.6117
V 1.9633 -1.6858 3.0585
V 1.6858 1.9633 1.8351
V 1.4084 5.0575 0.6117
Ga 3.3717 0.0000 1.2234
Ga 0.0000 0.0000 2.4468
Co 0.0000 0.0000 0.0000
Co 0.0000 3.3717 1.2234
```

Results
Crystal system: tetragonal
ΔE_f in eV per atom: 0.212



Record 8
VASP calculation (PBE) on a relaxed V5Ga2Co12 crystal.

Structure (extended XYZ):
```
19
Lattice="6.9963 -2.4548 0.0000 6.9963 2.4548 0.0000 -2.6380 0.0000 7.0617" Properties=species:S:1:pos:R:3 pbc="T T T"
V 0.0000 0.0000 0.0000
V 3.8842 0.0000 0.7845
V 3.3590 0.0000 4.4280
V 7.9955 0.0000 2.6337
V 7.4704 0.0000 6.2772
Ga 5.6773 1.2275 3.5309
Ga 5.6773 -1.2275 3.5309
Co 3.1768 1.3193 2.6616
Co 2.5686 1.2242 6.3065
Co -0.5429 0.0000 5.6404
Co 8.7859 1.2242 0.7552
Co 8.1777 1.3193 4.4001
Co 6.3448 0.0000 1.0796
Co 5.0098 0.0000 5.9822
Co 3.1768 -1.3193 2.6616
Co 2.5686 -1.2242 6.3065
Co 11.8974 0.0000 1.4213
Co 8.7859 -1.2242 0.7552
Co 8.1777 -1.3193 4.4001
```

Results
Crystal system: monoclinic
ΔE_f in eV per atom: 0.187



Computed raw total energy (eV/atom) in order:
-6.07 -6.76 -5.86 -4.39 -6.41 -7.52 -6.88 -7.02